Density functional theory data (SCAN) for FeTe2WN at its PBEsol-relaxed geometry.

```
5
Lattice="3.7619 0.0000 0.0000 0.0000 5.3448 0.0000 0.0000 0.0000 5.3448" Properties=species:S:1:pos:R:3 pbc="T T T"
W 0.0000 0.0000 0.0000
N 1.8809 0.0000 0.0000
Te 0.0000 0.0000 2.6724
Te 0.0000 2.6724 0.0000
Fe 1.8809 2.6724 2.6724
```

The value obtained for the energy relative to the elements, uncorrected is 646 meV/atom.

=====

Density functional theory data (SCAN) for TiFe3N at its PBEsol-relaxed geometry.

```
5
Lattice="-0.7483 -3.0512 1.9446 0.4223 -2.0459 -3.0475 3.5935 -0.3950 0.7631" Properties=species:S:1:pos:R:3 pbc="T T T"
Ti 1.6337 -2.7460 -0.1699
Fe 1.7967 -0.1975 0.3815
Fe -0.3741 -1.5256 0.9723
Fe 0.2111 -1.0229 -1.5238
N 0.0000 0.0000 0.0000
```

The value obtained for the energy relative to the elements, uncorrected is -191 meV/atom.

=====

Density functional theory data (SCAN) for Fe3W3N at its PBEsol-relaxed geometry.

```
28
Lattice="-6.1732 -4.4413 1.2857 0.2134 -5.4009 5.5019 -4.1248 0.9046 6.4540" Properties=species:S:1:pos:R:3 pbc="T T T"
Fe -4.2684 -3.7829 5.6046
Fe -5.5346 -3.5052 7.5858
Fe -7.0712 -7.6668 8.9662
Fe -3.2163 -3.3653 7.6332
Fe -6.4096 -2.8855 5.5251
Fe -8.4029 -5.7312 9.2585
Fe -6.4424 -6.0257 10.5528
Fe -4.2405 -6.0383 5.0490
Fe -6.1634 -5.1463 5.9993
Fe -8.3374 -7.3891 10.9474
Fe -4.2029 -5.4408 7.2936
Fe -6.3029 -5.5860 8.2760
W -8.1457 -3.9184 7.2815
W -2.1454 -0.0339 3.2421
W -2.0580 -2.2457 5.4953
W -4.6735 -1.8527 3.7686
W -4.5005 -1.2959 6.5223
W -0.3688 -2.6161 2.8522
W -5.7101 -4.4526 3.4705
W -5.5840 -7.6417 6.7193
W -2.8969 -4.4349 3.3787
W -4.3745 -4.4850 9.7711
W -2.9843 -2.2231 1.1256
W -1.9389 -5.0192 5.9602
N -1.2606 -1.1172 1.6552
N -4.3472 -3.3379 2.2981
N -3.3230 -0.6649 4.8822
N -1.1539 -3.8177 4.4062
```

The value obtained for the energy relative to the elements, uncorrected is 35 meV/atom.

=====

Density functional theory data (SCAN) for YFe2N at its PBEsol-relaxed geometry.

```
4
Lattice="4.1289 0.0000 0.0000 2.0644 3.5757 0.0000 2.0644 1.1919 3.3712" Properties=species:S:1:pos:R:3 pbc="T T T"
Fe 2.0644 1.1919 0.8428
Fe 6.1933 3.5757 2.5284
N 0.0000 0.0000 0.0000
Y 4.1289 2.3838 1.6856
```

The value obtained for the energy relative to the elements, uncorrected is 1175 meV/atom.

=====

Density functional theory data (SCAN) for YFe3N at its PBEsol-relaxed geometry.

```
5
Lattice="-2.5514 3.0309 2.1916 -3.1253 -0.2702 -3.2647 -2.0547 -3.3526 2.2444" Properties=species:S:1:pos:R:3 pbc="T T T"
Fe -1.2757 1.5155 1.0958
Fe -1.0274 -1.6763 1.1222
Fe -1.5627 -0.1351 -1.6324
Y 0.0000 0.0000 0.0000
N -3.8657 -0.2959 0.5857
```

The value obtained for the energy relative to the elements, uncorrected is 3004 meV/atom. The calculation puts the excess energy over the best structure of this formula in the dataset at 1434 kJ/mol of formula units.

=====

Density functional theory data (SCAN) for YFeN2 at its PBEsol-relaxed geometry.

```
4
Lattice="-3.0914 -2.2151 0.6927 0.0244 -2.4798 2.9654 -2.2054 0.6750 3.1023" Properties=species:S:1:pos:R:3 pbc="T T T"
N -1.3181 -1.0050 1.6901
N -3.9544 -3.0150 5.0703
Fe 0.0000 0.0000 0.0000
Y -2.6362 -2.0100 3.3802
```

The value obtained for the energy relative to the elements, uncorrected is -194 meV/atom.

=====

Density functional theory data (SCAN) for YFe3N at its PBEsol-relaxed geometry.

```
5
Lattice="-1.7139 1.3257 3.1745 -3.2112 -1.8890 -0.9449 1.2343 -3.0736 1.9500" Properties=species:S:1:pos:R:3 pbc="T T T"
Fe 0.6171 -1.5368 0.9750
Fe -0.8570 0.6629 1.5873
Fe -1.6056 -0.9445 -0.4724
N 0.0000 0.0000 0.0000
Y -1.8454 -1.8184 2.0898
```

The value obtained for the energy relative to the elements, uncorrected is 31 meV/atom. The calculation puts the excess energy over the best structure of this formula in the dataset at 0 kJ/mol of formula units.

=====

Density functional theory data (SCAN) for NaNb2Fe at its PBEsol-relaxed geometry.

```
4
Lattice="-0.3799 -1.1799 4.2607 2.8741 -2.8809 1.7691 2.9959 1.3911 2.9630" Properties=species:S:1:pos:R:3 pbc="T T T"
Na 0.0000 0.0000 0.0000
Nb 4.1176 -2.0023 6.7446
Nb 1.3725 -0.6674 2.2482
Fe 2.7451 -1.3349 4.4964
```

The value obtained for the total energy is -21.33 eV/atom.

=====

no.,density (Mg/m³)
1,7.86
2,7.55
3,15.01
4,7.16
5,4.84
6,7.02
7,7.91
8,7.11